No. 1
The following is a DFT calculation (PBE) of a geometry-optimized CuHgIr2 structure.

a b c (Å): 2.8219 2.8219 27.0541
angles (deg): 90.00 90.00 120.00
With the nearest neighbours (Å) after each atom.
Element x y z (fractional)
Cu 0.0000 0.0000 0.0000  6 Ir 2.61, 6 Cu 2.82
Cu 0.3333 0.6667 0.6667  6 Ir 2.61, 6 Cu 2.82
Cu 0.6667 0.3333 0.3333  6 Ir 2.61, 6 Cu 2.82
Hg 0.0000 0.0000 0.5000  6 Hg 2.82, 6 Ir 2.96
Hg 0.3333 0.6667 0.1667  6 Hg 2.82, 6 Ir 2.96
Hg 0.6667 0.3333 0.8333  6 Hg 2.82, 6 Ir 2.96
Ir 0.0000 0.0000 0.2579  3 Cu 2.61, 6 Ir 2.82
Ir 0.0000 0.0000 0.7421  3 Cu 2.61, 6 Ir 2.82
Ir 0.3333 0.6667 0.4088  3 Cu 2.61, 6 Ir 2.82
Ir 0.3333 0.6667 0.9246  3 Cu 2.61, 6 Ir 2.82
Ir 0.6667 0.3333 0.0754  3 Cu 2.61, 6 Ir 2.82
Ir 0.6667 0.3333 0.5912  3 Cu 2.61, 6 Ir 2.82

## Properties
- Formation energy from the elements: 0.4034 eV per atom
- Energy: -5.13 eV/atom
- DOS at the Fermi energy: 17.96 states/eV per cell
- ΔE to the lowest computed polymorph: 63 kJ/mol of formula units


No. 2
The following is a DFT calculation (PBE) of a geometry-optimized CuHgIr structure.

a b c (Å): 5.9609 5.9609 5.9609
angles (deg): 90.00 90.00 90.00
With the nearest neighbours (Å) after each atom.
Element x y z (fractional)
Cu 0.0000 0.0000 0.0000  4 Hg 2.58, 4 Ir 2.58
Cu 0.0000 0.5000 0.5000  4 Hg 2.58, 4 Ir 2.58
Cu 0.5000 0.0000 0.5000  4 Hg 2.58, 4 Ir 2.58
Cu 0.5000 0.5000 0.0000  4 Hg 2.58, 4 Ir 2.58
Hg 0.2500 0.2500 0.7500  4 Cu 2.58
Hg 0.2500 0.7500 0.2500  4 Cu 2.58
Hg 0.7500 0.2500 0.2500  4 Cu 2.58
Hg 0.7500 0.7500 0.7500  4 Cu 2.58
Ir 0.2500 0.2500 0.2500  4 Cu 2.58
Ir 0.2500 0.7500 0.7500  4 Cu 2.58
Ir 0.7500 0.2500 0.7500  4 Cu 2.58
Ir 0.7500 0.7500 0.2500  4 Cu 2.58

## Properties
- Formation energy from the elements: 0.6209 eV per atom
- Energy: -3.80 eV/atom
- DOS at the Fermi energy: 9.19 states/eV per cell
- ΔE to the lowest computed polymorph: 74 kJ/mol of formula units


No. 3
The following is a DFT calculation (PBE) of a geometry-optimized CuHg2Ir structure.

a b c (Å): 4.1964 4.1964 3.8948
angles (deg): 90.00 90.00 90.00
With the nearest neighbours (Å) after each atom.
Element x y z (fractional)
Cu 0.0000 0.0000 0.0000  8 Hg 2.86, 4 Ir 2.97
Hg 0.0000 0.5000 0.5000  4 Cu 2.86, 4 Ir 2.86, 4 Hg 2.97
Hg 0.5000 0.0000 0.5000  4 Cu 2.86, 4 Ir 2.86, 4 Hg 2.97
Ir 0.5000 0.5000 0.0000  8 Hg 2.86, 4 Cu 2.97

## Properties
- Formation energy from the elements: 0.3400 eV per atom
- Energy: -3.05 eV/atom
- DOS at the Fermi energy: 0.97 states/eV per cell
- ΔE to the lowest computed polymorph: 0 kJ/mol of formula units


| no. | spin magnetization (μB per cell) |
| --- | --- |
| 1 | 0.00 |
| 2 | 0.00 |
| 3 | 0.00 |